Material: CeEuGdAl
Method: DFT, PBE-GGA
State: relaxed

Properties
As for the space group: F-43m. The value obtained for the density of states at the Fermi level is 2.246 states/eV/atom. The calculation puts the formation energy from the elements at -0.018 eV per atom. The value obtained for the total energy is -34.1 eV per cell.

Cell: 5.416 5.416 5.416 Å, 60.00 60.00 60.00°
Sites, in units of the cell vectors:
Ce  0.000  0.000  0.000
Eu  0.750  0.750  0.750
Gd  0.500  0.500  0.500
Al  0.250  0.250  0.250